Record 1
# K3MgNb

A relaxed K3MgNb crystal (GGA-PBE, the Alexandria database).

Lattice parameters (Å, degrees): 6.7795 6.7795 6.7795 90.00 90.00 90.00
Closest atoms and distances in Å follow each position.
Fractional positions:
1 K 0.0000 0.0000 0.5000  2 Nb 3.39
2 K 0.0000 0.5000 0.0000  2 Nb 3.39
3 K 0.5000 0.0000 0.0000  2 Nb 3.39
4 Mg 0.5000 0.5000 0.5000  12 K 4.79
5 Nb 0.0000 0.0000 0.0000  6 K 3.39

- formation enthalpy at 0 K (kJ per mole of atoms) = 118.1
- space group = Pm-3m

=====

Record 2
# Tb3TeC2

A relaxed Tb3TeC2 crystal (GGA-PBE, the Alexandria database).

Lattice parameters (Å, degrees): 6.6776 6.6776 6.6391 90.00 90.00 61.10
Closest atoms and distances in Å follow each position.
Fractional positions:
1 Tb 0.0299 0.4622 0.7500  2 C 2.41
2 Tb 0.0496 0.9504 0.7500  4 C 2.53
3 Tb 0.4622 0.0299 0.2500  2 C 2.41
4 Tb 0.5378 0.9701 0.7500  2 C 2.41
5 Tb 0.9504 0.0496 0.2500  4 C 2.53
6 Tb 0.9701 0.5378 0.2500  2 C 2.41
7 Te 0.4765 0.5235 0.2500  6 Tb 3.22-3.57, 2 Te 3.33
8 Te 0.5235 0.4765 0.7500  6 Tb 3.22-3.57, 2 Te 3.33
9 C 0.1635 0.1635 0.0000  4 Tb 2.41-2.53
10 C 0.1635 0.1635 0.5000  4 Tb 2.41-2.53
11 C 0.8365 0.8365 0.0000  4 Tb 2.41-2.53
12 C 0.8365 0.8365 0.5000  4 Tb 2.41-2.53

- raw formation energy (eV per formula unit) = -1.89
- space group = Cmcm

=====

Record 3
# Tm3Tl2Zn2

A relaxed Tm3Tl2Zn2 crystal (GGA-PBE, the Alexandria database).

Lattice parameters (Å, degrees): 4.3356 21.4166 3.5397 90.00 90.00 90.00
Closest atoms and distances in Å follow each position.
Fractional positions:
1 Tm 0.0000 0.0000 0.0000  8 Tl 3.31, 4 Tm 3.54-3.57
2 Tm 0.0000 0.1667 0.0000  6 Zn 3.01-3.02, 4 Tl 3.33
3 Tm 0.0000 0.8333 0.0000  6 Zn 3.01-3.02, 4 Tl 3.33
4 Tm 0.5000 0.3333 0.0000  6 Zn 3.01-3.02, 4 Tl 3.33
5 Tm 0.5000 0.5000 0.0000  8 Tl 3.31, 4 Tm 3.54-3.57
6 Tm 0.5000 0.6667 0.0000  6 Zn 3.01-3.02, 4 Tl 3.33
7 Tl 0.0000 0.4178 0.5000  1 Zn 2.94
8 Tl 0.0000 0.5822 0.5000  1 Zn 2.94
9 Tl 0.5000 0.0822 0.5000  1 Zn 2.94
10 Tl 0.5000 0.9178 0.5000  1 Zn 2.94
11 Zn 0.0000 0.2804 0.5000  2 Zn 2.53
12 Zn 0.0000 0.7196 0.5000  2 Zn 2.53
13 Zn 0.5000 0.2196 0.5000  2 Zn 2.53
14 Zn 0.5000 0.7804 0.5000  2 Zn 2.53

- formation enthalpy at 0 K (kJ per mole of atoms) = -30.4
- space group = Cmmm

=====

Record 4
# LiIn2P

A relaxed LiIn2P crystal (GGA-PBE, the Alexandria database).

Lattice parameters (Å, degrees): 8.5551 3.7716 6.0902 90.00 110.87 90.00
Closest atoms and distances in Å follow each position.
Fractional positions:
1 Li 0.0000 0.0000 0.0000  3 P 2.52-2.58
2 Li 0.5000 0.5000 0.0000  3 P 2.52-2.58
3 In 0.1639 0.0000 0.6340  2 P 2.77, 1 In 3.00, 1 Li 3.03
4 In 0.3652 0.0000 0.3191  2 P 2.77, 1 In 3.00, 1 Li 3.03
5 In 0.6639 0.5000 0.6340  2 P 2.77, 1 In 3.00, 1 Li 3.03
6 In 0.8652 0.5000 0.3191  2 P 2.77, 1 In 3.00, 1 Li 3.03
7 P 0.2011 0.5000 0.9814  3 Li 2.52-2.58, 4 In 2.77
8 P 0.7011 0.0000 0.9814  3 Li 2.52-2.58, 4 In 2.77

- formation enthalpy at 0 K (kJ per mole of atoms) = -16.6
- space group = Cm

=====

Record 5
# KPbS

A relaxed KPbS crystal (GGA-PBE, the Alexandria database).

Lattice parameters (Å, degrees): 5.6747 6.6297 14.6842 90.00 90.00 90.00
Closest atoms and distances in Å follow each position.
Fractional positions:
1 K 0.0000 0.0000 0.1550  1 S 3.04
2 K 0.0000 0.0000 0.8450  1 S 3.04
3 K 0.5000 0.5000 0.3450  1 S 3.04
4 K 0.5000 0.5000 0.6550  1 S 3.04
5 Pb 0.0000 0.2658 0.5000  2 S 2.68
6 Pb 0.0000 0.7342 0.5000  2 S 2.68
7 Pb 0.5000 0.2342 0.0000  2 S 2.68
8 Pb 0.5000 0.7658 0.0000  2 S 2.68
9 S 0.0000 0.0000 0.3621  2 Pb 2.68
10 S 0.0000 0.0000 0.6379  2 Pb 2.68
11 S 0.5000 0.5000 0.1379  2 Pb 2.68
12 S 0.5000 0.5000 0.8621  2 Pb 2.68

- raw formation energy (eV per formula unit) = -1.18
- space group = Immm

=====

Record 6
# NiAsHRu2

A relaxed NiAsHRu2 crystal (GGA-PBE, the Alexandria database).

Lattice parameters (Å, degrees): 3.9916 3.9916 3.5047 90.00 90.00 90.00
Closest atoms and distances in Å follow each position.
Fractional positions:
1 Ni 0.0000 0.0000 0.0000  2 H 1.75
2 As 0.5000 0.5000 0.0000  8 Ru 2.66, 4 Ni 2.82
3 H 0.0000 0.0000 0.5000  2 Ni 1.75
4 Ru 0.0000 0.5000 0.5000  2 H 2.00
5 Ru 0.5000 0.0000 0.5000  2 H 2.00

- VASP energy (eV per atom) = -6.433
- space group = P4/mmm

=====

Record 7
# Ac3Pm4S8

A relaxed Ac3Pm4S8 crystal (GGA-PBE, the Alexandria database).

Lattice parameters (Å, degrees): 8.3232 8.3232 8.2454 119.64 119.64 90.06
Closest atoms and distances in Å follow each position.
Fractional positions:
1 Ac 0.0000 0.0000 0.0000  6 S 3.01-3.02
2 Ac 0.0000 0.5000 0.5000  6 S 2.94-2.95
3 Ac 0.5000 0.0000 0.5000  6 S 2.94-2.95
4 Pm 0.0000 0.5000 0.0000  6 S 2.94-2.95
5 Pm 0.5000 0.0000 0.0000  6 S 2.94-2.95
6 Pm 0.5000 0.5000 0.0000  6 S 2.87-2.88
7 Pm 0.5000 0.5000 0.5000  6 S 2.85-2.88
8 S 0.2560 0.7440 0.0000  3 Pm 2.87-2.94, 3 Ac 2.95-3.01
9 S 0.2566 0.7434 0.5000  3 Pm 2.87-2.95, 2 Ac 2.94
10 S 0.2607 0.2607 0.0105  4 Pm 2.88-2.95, 1 Ac 3.01
11 S 0.2638 0.2638 0.5124  2 Pm 2.85-2.87, 3 Ac 2.95-3.02
12 S 0.7362 0.7362 0.4876  2 Pm 2.85-2.87, 3 Ac 2.95-3.02
13 S 0.7393 0.7393 0.9895  4 Pm 2.88-2.95, 1 Ac 3.01
14 S 0.7434 0.2566 0.5000  3 Pm 2.87-2.95, 2 Ac 2.94
15 S 0.7440 0.2560 0.0000  3 Pm 2.87-2.94, 3 Ac 2.95-3.01

- raw formation energy (eV per formula unit) = -30.32
- space group = C2/m

=====

Record 8
# ErTcGe2

A relaxed ErTcGe2 crystal (GGA-PBE, the Alexandria database).

Lattice parameters (Å, degrees): 6.5343 6.5343 6.5343 90.00 90.00 90.00
Closest atoms and distances in Å follow each position.
Fractional positions:
1 Er 0.0000 0.0000 0.0000  8 Ge 2.83
2 Er 0.0000 0.5000 0.5000  8 Ge 2.83
3 Er 0.5000 0.0000 0.5000  8 Ge 2.83
4 Er 0.5000 0.5000 0.0000  8 Ge 2.83
5 Tc 0.0000 0.0000 0.5000  8 Ge 2.83
6 Tc 0.0000 0.5000 0.0000  8 Ge 2.83
7 Tc 0.5000 0.0000 0.0000  8 Ge 2.83
8 Tc 0.5000 0.5000 0.5000  8 Ge 2.83
9 Ge 0.2500 0.2500 0.2500  4 Tc 2.83, 4 Er 2.83
10 Ge 0.2500 0.2500 0.7500  4 Er 2.83, 4 Tc 2.83
11 Ge 0.2500 0.7500 0.2500  4 Tc 2.83, 4 Er 2.83
12 Ge 0.2500 0.7500 0.7500  4 Tc 2.83, 4 Er 2.83
13 Ge 0.7500 0.2500 0.2500  4 Tc 2.83, 4 Er 2.83
14 Ge 0.7500 0.2500 0.7500  4 Tc 2.83, 4 Er 2.83
15 Ge 0.7500 0.7500 0.2500  4 Tc 2.83, 4 Er 2.83
16 Ge 0.7500 0.7500 0.7500  4 Tc 2.83, 4 Er 2.83

- formation enthalpy at 0 K (kJ per mole of atoms) = -29.8
- space group = Fm-3m